The following is a PBE calculation of an optimized crystal structure of AlIrPb2, from Alexandria.

a = 5.530 Å, b = 6.894 Å, c = 3.755 Å
α = 123.08°, β = 110.65°, γ = 103.91°
Atoms (fractional coordinates):
Pb: 0.002 0.099 0.028
Pb: 0.248 0.723 0.287
Ir: 0.624 0.206 0.458
Al: 0.626 0.473 0.227

Output
symmetry = P1, No. 1
formation enthalpy at 0 K = 0.22 eV/f.u.
magnetic moment = 0.0 μB per formula unit